Entry 1:
Computed, not measured: a PBEsol-optimized structure of MgTaNi at the SCAN level of DFT.

As for the energy of formation from the pure elements: 15.8 kJ/mol of atoms. For the energy relative to the lowest polymorph listed for this composition, the calculation gives 0.43 eV per formula unit. Its density of states at the Fermi level is 1.31 states/eV per cell.

Unit cell a=4.3694 b=4.3694 c=2.7297 alpha=90.00 beta=90.00 gamma=120.00
Space group P3m1 (No. 156)
Inequivalent atoms, fractional coordinates:
Mg  0.0000  0.0000  0.0000
Ta  0.3333  0.6667  0.5500
Ni  0.6667  0.3333  0.2661

***

Entry 2:
Computed, not measured: a PBEsol-optimized structure of CaTePI2 at the SCAN level of DFT.

Its density of states at the Fermi level is 2.30 states/eV per cell. For the formation energy (no corrections), the calculation gives -0.356 eV/atom.

Unit cell a=5.415 b=5.415 c=5.347 alpha=90.00 beta=90.00 gamma=90.00
Space group P4/mmm (No. 123)
Inequivalent atoms, fractional coordinates:
Ca  0.000  0.000  0.000
Te  0.500  0.500  0.000
P  0.500  0.500  0.500
I  0.000  0.500  0.500

***

Entry 3:
Computed, not measured: a PBEsol-optimized structure of CdMoCl2F at the SCAN level of DFT.

Its density of states at the Fermi level is 1.34 states/eV per cell. For the formation energy (no corrections), the calculation gives -0.512 eV/atom.

Unit cell a=5.150 b=5.150 c=4.187 alpha=90.00 beta=90.00 gamma=90.00
Space group P4/mmm (No. 123)
Inequivalent atoms, fractional coordinates:
Cd  0.000  0.000  0.000
Mo  0.500  0.500  0.500
Cl  0.000  0.500  0.000
F  0.000  0.000  0.500

***

Entry 4:
Computed, not measured: a PBEsol-optimized structure of Rb5Ti6AgSe27 at the SCAN level of DFT.

For the formation energy (no corrections), the calculation gives -0.951 eV/atom.

Unit cell a=13.2396 b=13.2396 c=13.7273 alpha=90.00 beta=90.00 gamma=120.00
Space group P31c (No. 159)
Inequivalent atoms, fractional coordinates:
Rb  0.0352  0.3775  0.0000
Rb  0.3333  0.6667  0.1726
Rb  0.3333  0.6667  0.8086
Ti  0.0159  0.6818  0.1220
Ti  0.0173  0.6714  0.8626
Ag  0.0000  0.0000  0.2463
Se  0.0121  0.5225  0.7357
Se  0.0794  0.8875  0.8691
Se  0.1010  0.8979  0.1368
Se  0.1137  0.8005  0.4911
Se  0.1336  0.5904  0.3606
Se  0.1446  0.6668  0.9953
Se  0.1579  0.8177  0.7440
Se  0.1639  0.8040  0.2487
Se  0.1889  0.6942  0.5796

***

Entry 5:
Computed, not measured: a PBEsol-optimized structure of InMo2Pt at the SCAN level of DFT.

As for the energy of formation from the pure elements: 7.5 kJ/mol of atoms. Its density of states at the Fermi level is 3.63 states/eV per cell.

Unit cell a=2.778 b=2.778 c=8.372 alpha=90.00 beta=90.00 gamma=90.00
Space group P4/mmm (No. 123)
Inequivalent atoms, fractional coordinates:
In  0.000  0.000  0.000
Mo  0.500  0.500  0.264
Pt  0.000  0.000  0.500

***

Entry 6:
Computed, not measured: a PBEsol-optimized structure of CsCa2TlP at the SCAN level of DFT.

As for the energy of formation from the pure elements: 12.6 kJ/mol of atoms. Its density of states at the Fermi level is 3.45 states/eV per cell.

Unit cell a=5.919 b=5.919 c=5.449 alpha=90.00 beta=90.00 gamma=90.00
Space group P4/mmm (No. 123)
Inequivalent atoms, fractional coordinates:
Cs  0.000  0.000  0.000
Ca  0.000  0.500  0.500
Tl  0.500  0.500  0.500
P  0.500  0.500  0.000

***

Entry 7:
Computed, not measured: a PBEsol-optimized structure of Ca2LaPb at the SCAN level of DFT.

As for the energy of formation from the pure elements: -33.7 kJ/mol of atoms. Its density of states at the Fermi level is 2.65 states/eV per cell.

Unit cell a=3.654 b=3.654 c=9.885 alpha=90.00 beta=90.00 gamma=90.00
Space group P4/mmm (No. 123)
Inequivalent atoms, fractional coordinates:
Ca  0.000  0.000  0.209
La  0.500  0.500  0.500
Pb  0.500  0.500  0.000

***

Entry 8:
Computed, not measured: a PBEsol-optimized structure of Sr3Li at the SCAN level of DFT.

As for the energy of formation from the pure elements: 8.4 kJ/mol of atoms. For the energy relative to the lowest polymorph listed for this composition, the calculation gives 0.23 eV per formula unit. Its density of states at the Fermi level is 13.37 states/eV per cell.

Unit cell a=12.563 b=9.162 c=6.355 alpha=90.00 beta=90.00 gamma=90.00
Space group Cmcm (No. 63)
Inequivalent atoms, fractional coordinates:
Sr  0.000  0.169  0.250
Sr  0.227  0.128  0.750
Li  0.000  0.415  0.750

***

Entry 9:
Computed, not measured: a PBEsol-optimized structure of Li2Ti3VO8 at the SCAN level of DFT.

For the energy relative to the lowest polymorph listed for this composition, the calculation gives 0.00 eV per formula unit. Its density of states at the Fermi level is 11.42 states/eV per cell. For the formation energy (no corrections), the calculation gives -3.027 eV/atom.

Unit cell a=8.310 b=8.310 c=8.310 alpha=90.00 beta=90.00 gamma=90.00
Space group P4_332 (No. 212)
Inequivalent atoms, fractional coordinates:
Li  0.004  0.496  0.504
Ti  0.119  0.625  0.131
V  0.125  0.875  0.375
O  0.109  0.609  0.891
O  0.114  0.883  0.616

***

Entry 10:
Computed, not measured: a PBEsol-optimized structure of LiMo2Cl at the SCAN level of DFT.

For the energy relative to the lowest polymorph listed for this composition, the calculation gives 2.00 eV per formula unit. Its density of states at the Fermi level is 3.43 states/eV per cell. For the formation energy (no corrections), the calculation gives 0.504 eV/atom.

Unit cell a=3.003 b=4.886 c=9.119 alpha=90.00 beta=90.00 gamma=90.00
Space group Imm2 (No. 44)
Inequivalent atoms, fractional coordinates:
Li  0.000  0.000  0.000
Mo  0.000  0.000  0.478
Mo  0.000  0.500  0.177
Cl  0.000  0.500  0.739

***

Entry 11:
Computed, not measured: a PBEsol-optimized structure of Cd2Si2Te at the SCAN level of DFT.

Its density of states at the Fermi level is 4.13 states/eV per cell. For the formation energy (no corrections), the calculation gives 0.315 eV/atom.

Unit cell a=3.643 b=3.643 c=15.959 alpha=90.00 beta=90.00 gamma=90.00
Space group I4/mmm (No. 139)
Inequivalent atoms, fractional coordinates:
Cd  0.000  0.000  0.107
Si  0.000  0.500  0.250
Te  0.000  0.000  0.500

***

Entry 12:
Computed, not measured: a PBEsol-optimized structure of K2SiPd at the SCAN level of DFT.

Its density of states at the Fermi level is 9.80 states/eV per cell. For the formation energy (no corrections), the calculation gives -0.051 eV/atom.

Unit cell a=12.293 b=12.293 c=4.520 alpha=90.00 beta=90.00 gamma=90.00
Space group I-42d (No. 122)
Inequivalent atoms, fractional coordinates:
K  0.037  0.250  0.125
Si  0.000  0.000  0.500
Pd  0.000  0.000  0.000

***

Entry 13:
Computed, not measured: a PBEsol-optimized structure of Zr2TaOs at the SCAN level of DFT.

As for the energy of formation from the pure elements: -12.3 kJ/mol of atoms. For the energy relative to the lowest polymorph listed for this composition, the calculation gives 0.78 eV per formula unit. Its density of states at the Fermi level is 3.85 states/eV per cell.

Unit cell a=2.989 b=4.577 c=5.393 alpha=90.00 beta=102.56 gamma=90.00
Space group P2/m (No. 10)
Inequivalent atoms, fractional coordinates:
Zr  0.226  0.000  0.259
Ta  0.500  0.500  0.000
Os  0.000  0.500  0.500

***

Entry 14:
Computed, not measured: a PBEsol-optimized structure of LiCr2Ru at the SCAN level of DFT.

As for the energy of formation from the pure elements: 32.7 kJ/mol of atoms. Its density of states at the Fermi level is 7.75 states/eV per cell.

Unit cell a=4.809 b=8.339 c=2.466 alpha=90.00 beta=107.90 gamma=90.00
Space group C2/m (No. 12)
Inequivalent atoms, fractional coordinates:
Li  0.000  0.000  0.000
Cr  0.250  0.250  0.500
Ru  0.000  0.500  0.000

***

Entry 15:
Computed, not measured: a PBEsol-optimized structure of K2Mn2Zn4Si4O15 at the SCAN level of DFT.

For the formation energy (no corrections), the calculation gives -2.392 eV/atom.

Unit cell a=9.027 b=15.776 c=5.200 alpha=90.00 beta=90.00 gamma=90.00
Space group Imm2 (No. 44)
Inequivalent atoms, fractional coordinates:
K  0.000  0.116  0.000
Mn  0.158  0.500  0.541
Zn  0.188  0.306  0.900
Si  0.000  0.307  0.412
Si  0.174  0.000  0.488
O  0.000  0.000  0.387
O  0.000  0.285  0.098
O  0.000  0.408  0.466
O  0.149  0.263  0.544
O  0.176  0.000  0.796
O  0.250  0.081  0.342

***

Entry 16:
Computed, not measured: a PBEsol-optimized structure of ReOs at the SCAN level of DFT.

As for the energy of formation from the pure elements: 9.3 kJ/mol of atoms. For the energy relative to the lowest polymorph listed for this composition, the calculation gives 0.42 eV per formula unit. Its density of states at the Fermi level is 9.83 states/eV per cell.

Unit cell a=2.7193 b=2.7193 c=26.8472 alpha=90.00 beta=90.00 gamma=120.00
Space group R-3m (No. 166, hexagonal axes)
Inequivalent atoms, fractional coordinates:
Re  0.0000  0.0000  0.1231
Os  0.0000  0.0000  0.3759

***

Entry 17:
Computed, not measured: a PBEsol-optimized structure of Sr2AlPb at the SCAN level of DFT.

As for the energy of formation from the pure elements: -6.9 kJ/mol of atoms. Its density of states at the Fermi level is 9.06 states/eV per cell.

Unit cell a=7.986 b=7.986 c=7.986 alpha=90.00 beta=90.00 gamma=90.00
Space group F-43m (No. 216)
Inequivalent atoms, fractional coordinates:
Sr  0.000  0.000  0.000
Sr  0.250  0.250  0.250
Al  0.250  0.250  0.750
Pb  0.000  0.000  0.500

***

Entry 18:
Computed, not measured: a PBEsol-optimized structure of TaFeTe2 at the SCAN level of DFT.

Its density of states at the Fermi level is 3.32 states/eV per cell. For the formation energy (no corrections), the calculation gives 0.042 eV/atom.

Unit cell a=3.437 b=3.437 c=7.250 alpha=90.00 beta=90.00 gamma=90.00
Space group P4mm (No. 99)
Inequivalent atoms, fractional coordinates:
Ta  0.000  0.000  0.000
Fe  0.500  0.500  0.827
Te  0.000  0.000  0.631
Te  0.500  0.500  0.203

***

Entry 19:
Computed, not measured: a PBEsol-optimized structure of Pr2SbAu3 at the SCAN level of DFT.

Its density of states at the Fermi level is 3.18 states/eV per cell. For the formation energy (no corrections), the calculation gives -1.016 eV/atom.

Unit cell a=3.694 b=4.640 c=8.270 alpha=90.00 beta=90.00 gamma=90.00
Space group Pmm2 (No. 25)
Inequivalent atoms, fractional coordinates:
Pr  0.000  0.000  0.000
Pr  0.000  0.500  0.466
Sb  0.500  0.500  0.815
Au  0.500  0.000  0.318
Au  0.500  0.000  0.646
Au  0.500  0.500  0.149

***

Entry 20:
Computed, not measured: a PBEsol-optimized structure of SnAs2IrN at the SCAN level of DFT.

Its density of states at the Fermi level is 3.56 states/eV per cell. For the formation energy (no corrections), the calculation gives 2.341 eV/atom.

Unit cell a=5.193 b=5.193 c=4.910 alpha=90.00 beta=90.00 gamma=90.00
Space group P4/mmm (No. 123)
Inequivalent atoms, fractional coordinates:
Sn  0.000  0.000  0.000
As  0.000  0.500  0.000
Ir  0.000  0.000  0.500
N  0.500  0.500  0.500